1.
A plane-wave DFT calculation with GGA-PBE was carried out for a relaxed structure of ScGa8Mo2.

Properties
- Crystal system: monoclinic
- Energy of formation: 0.00 eV/atom

abc: 7.1197 11.5925 5.0779
angles: 90.00 104.17 90.00
Last column: nearest neighbours and their distance in Å.
Space group C2/m (No. 12)
Unique sites:
1 Sc 0.0000 0.0000 0.0000 [2 per cell]  8 Ga 2.82-3.07
2 Ga 0.0000 0.2646 0.0000 [4 per cell]  2 Mo 2.55, 2 Ga 2.84
3 Ga 0.0976 0.5000 0.7628 [4 per cell]  5 Ga 2.69-2.96, 2 Mo 2.82, 1 Sc 2.82
4 Ga 0.2114 0.1071 0.6320 [8 per cell]  1 Ga 2.48, 2 Mo 2.56-2.62
5 Mo 0.0000 0.2863 0.5000 [4 per cell]  8 Ga 2.55-2.82

2.
A plane-wave DFT calculation with GGA-PBE was carried out for a relaxed structure of Ho3PaS4.

Properties
- Uncorrected formation energy: -1.86 eV per atom
- Crystal system: orthorhombic

abc: 7.8331 10.9821 3.8549
angles: 90.00 90.00 90.00
Last column: nearest neighbours and their distance in Å.
Space group Cmmm (No. 65)
Unique sites:
1 Ho 0.0000 0.0000 0.0000 [2 per cell]  6 S 2.73
2 Ho 0.2500 0.2500 0.5000 [4 per cell]  6 S 2.75
3 Pa 0.0000 0.5000 0.0000 [2 per cell]  6 S 2.76-2.77
4 S 0.0000 0.2488 0.0000 [4 per cell]  5 Ho 2.73-2.75, 1 Pa 2.76
5 S 0.2463 0.0000 0.5000 [4 per cell]  4 Ho 2.73-2.75, 2 Pa 2.77

Number 1: total energy -104.36 eV/cell, size of the total moment 0.000 μB/atom. Number 2: total energy -109.31 eV/cell, size of the total moment 0.000 μB/atom.